A plane-wave DFT calculation with GGA-PBE was carried out for crystalline LiFe2Ru at its relaxed geometry.

Computed properties:
- Density of states at the Fermi level: 9.08 states/eV/cell
- Total DFT energy (no corrections): -6.74 eV per atom
- Spin magnetization: 10.82 Bohr magnetons per cell
- Calculated formation energy: 291 meV per atom

Cell and atoms, written as CIF:
```
data_LiFe2Ru
_symmetry_space_group_name_H-M 'C m m m'
_symmetry_Int_Tables_number 65
_symmetry_space_group_name_Hall '-C 2 2'
_cell_length_a 2.810
_cell_length_b 4.283
_cell_length_c 8.811
_cell_angle_alpha 90.00
_cell_angle_beta 90.00
_cell_angle_gamma 90.00
loop_
_atom_site_label
_atom_site_fract_x
_atom_site_fract_y
_atom_site_fract_z
Li1 0.000 0.000 0.000
Fe1 0.000 0.500 0.256
Ru1 0.000 0.000 0.500
```

A plane-wave DFT calculation with GGA-PBE was carried out for crystalline Ba5InAu at its relaxed geometry.

Computed properties:
- Density of states at the Fermi level: 30.02 states/eV/cell
- Total DFT energy (no corrections): -2.50 eV per atom
- Spin magnetization: 0.00 Bohr magnetons per cell
- Calculated formation energy: -271 meV per atom

Cell and atoms, written as CIF:
```
data_Ba5InAu
_symmetry_space_group_name_H-M 'C 1 2/c 1'
_symmetry_Int_Tables_number 15
_symmetry_space_group_name_Hall '-C 2yc'
_cell_length_a 14.000
_cell_length_b 8.522
_cell_length_c 12.828
_cell_angle_alpha 90.00
_cell_angle_beta 111.76
_cell_angle_gamma 90.00
loop_
_atom_site_label
_atom_site_fract_x
_atom_site_fract_y
_atom_site_fract_z
Ba1 0.000 0.045 0.250
Ba2 0.108 0.340 0.013
Ba3 0.223 0.166 0.641
In1 0.000 0.465 0.250
Au1 0.000 0.000 0.000
```

A plane-wave DFT calculation with GGA-PBE was carried out for crystalline ScHgIr2 at its relaxed geometry.

Computed properties:
- Density of states at the Fermi level: 4.35 states/eV/cell
- Total DFT energy (no corrections): -6.27 eV per atom
- Spin magnetization: 0.00 Bohr magnetons per cell
- Calculated formation energy: -185 meV per atom

Cell and atoms, written as CIF:
```
data_ScHgIr2
_symmetry_space_group_name_H-M 'P 1 m 1'
_symmetry_Int_Tables_number 6
_symmetry_space_group_name_Hall 'P -2y'
_cell_length_a 2.956
_cell_length_b 4.073
_cell_length_c 5.682
_cell_angle_alpha 90.00
_cell_angle_beta 90.13
_cell_angle_gamma 90.00
loop_
_atom_site_label
_atom_site_fract_x
_atom_site_fract_y
_atom_site_fract_z
Sc1 0.000 0.000 0.000
Hg1 0.500 0.500 0.284
Ir1 0.000 0.000 0.539
Ir2 0.500 0.500 0.774
```

A plane-wave DFT calculation with GGA-PBE was carried out for crystalline MgUPd2 at its relaxed geometry.

Computed properties:
- Density of states at the Fermi level: 5.76 states/eV/cell
- Total DFT energy (no corrections): -6.24 eV per atom
- Spin magnetization: 1.94 Bohr magnetons per cell
- Calculated formation energy: -425 meV per atom

Cell and atoms, written as CIF:
```
data_MgUPd2
_symmetry_space_group_name_H-M 'P 4/m m m'
_symmetry_Int_Tables_number 123
_symmetry_space_group_name_Hall '-P 4 2'
_cell_length_a 3.166
_cell_length_b 3.166
_cell_length_c 7.282
_cell_angle_alpha 90.00
_cell_angle_beta 90.00
_cell_angle_gamma 90.00
loop_
_atom_site_label
_atom_site_fract_x
_atom_site_fract_y
_atom_site_fract_z
Mg1 0.000 0.000 0.000
U1 0.000 0.000 0.500
Pd1 0.500 0.500 0.225
```

A plane-wave DFT calculation with GGA-PBE was carried out for crystalline CeSmDyY at its relaxed geometry.

Computed properties:
- Density of states at the Fermi level: 42.51 states/eV/cell
- Total DFT energy (no corrections): -5.26 eV per atom
- Spin magnetization: 4.01 Bohr magnetons per cell
- Calculated formation energy: 171 meV per atom

Cell and atoms, written as CIF:
```
data_CeSmDyY
_symmetry_space_group_name_H-M 'F -4 3 m'
_symmetry_Int_Tables_number 216
_symmetry_space_group_name_Hall 'F -4 2 3'
_cell_length_a 8.051
_cell_length_b 8.051
_cell_length_c 8.051
_cell_angle_alpha 90.00
_cell_angle_beta 90.00
_cell_angle_gamma 90.00
loop_
_atom_site_label
_atom_site_fract_x
_atom_site_fract_y
_atom_site_fract_z
Ce1 0.000 0.000 0.000
Sm1 0.000 0.000 0.500
Dy1 0.250 0.250 0.250
Y1 0.250 0.250 0.750
```

A plane-wave DFT calculation with GGA-PBE was carried out for crystalline Ac8Ga3OsBr4 at its relaxed geometry.

Computed properties:
- Density of states at the Fermi level: 38.35 states/eV/cell
- Total DFT energy (no corrections): -4.59 eV per atom
- Spin magnetization: 0.00 Bohr magnetons per cell

Cell and atoms, written as CIF:
```
data_Ac8Ga3OsBr4
_symmetry_space_group_name_H-M 'R -3 m'
_symmetry_Int_Tables_number 166
_symmetry_space_group_name_Hall '-R 3 2"'
_cell_length_a 9.1568
_cell_length_b 9.1568
_cell_length_c 23.4840
_cell_angle_alpha 90.00
_cell_angle_beta 90.00
_cell_angle_gamma 120.00
loop_
_atom_site_label
_atom_site_fract_x
_atom_site_fract_y
_atom_site_fract_z
Ac1 0.0000 0.0000 0.2426
Ac2 0.0194 0.5097 0.2354
Ga1 0.0000 0.5000 0.5000
Os1 0.0000 0.0000 0.5000
Br1 0.0000 0.0000 0.0000
Br2 0.0000 0.5000 0.0000
```

A plane-wave DFT calculation with GGA-PBE was carried out for crystalline VZn2Ga at its relaxed geometry.

Computed properties:
- Density of states at the Fermi level: 10.70 states/eV/cell
- Total DFT energy (no corrections): -3.38 eV per atom
- Spin magnetization: 0.00 Bohr magnetons per cell
- Calculated formation energy: 289 meV per atom

Cell and atoms, written as CIF:
```
data_VZn2Ga
_symmetry_space_group_name_H-M 'I -4 2 d'
_symmetry_Int_Tables_number 122
_symmetry_space_group_name_Hall 'I -4 2bw'
_cell_length_a 7.007
_cell_length_b 7.007
_cell_length_c 5.165
_cell_angle_alpha 90.00
_cell_angle_beta 90.00
_cell_angle_gamma 90.00
loop_
_atom_site_label
_atom_site_fract_x
_atom_site_fract_y
_atom_site_fract_z
V1 0.000 0.000 0.000
Zn1 0.239 0.750 0.625
Ga1 0.000 0.000 0.500
```

A plane-wave DFT calculation with GGA-PBE was carried out for crystalline Sc2GeB2Os5 at its relaxed geometry.

Computed properties:
- Density of states at the Fermi level: 12.98 states/eV/cell
- Total DFT energy (no corrections): -9.07 eV per atom
- Spin magnetization: 0.00 Bohr magnetons per cell
- Calculated formation energy: -395 meV per atom

Cell and atoms, written as CIF:
```
data_Sc2GeB2Os5
_symmetry_space_group_name_H-M 'P 4/m b m'
_symmetry_Int_Tables_number 127
_symmetry_space_group_name_Hall '-P 4 2ab'
_cell_length_a 9.439
_cell_length_b 9.439
_cell_length_c 3.034
_cell_angle_alpha 90.00
_cell_angle_beta 90.00
_cell_angle_gamma 90.00
loop_
_atom_site_label
_atom_site_fract_x
_atom_site_fract_y
_atom_site_fract_z
Sc1 0.175 0.325 0.000
Ge1 0.000 0.000 0.000
B1 0.124 0.624 0.000
Os1 0.000 0.500 0.500
Os2 0.070 0.786 0.500
```

A plane-wave DFT calculation with GGA-PBE was carried out for crystalline ErGeSb at its relaxed geometry.

Computed properties:
- Density of states at the Fermi level: 1.81 states/eV/cell
- Total DFT energy (no corrections): -4.75 eV per atom
- Spin magnetization: 0.00 Bohr magnetons per cell

Cell and atoms, written as CIF:
```
data_ErGeSb
_symmetry_space_group_name_H-M 'P 3 m 1'
_symmetry_Int_Tables_number 156
_symmetry_space_group_name_Hall 'P 3 -2"'
_cell_length_a 4.8119
_cell_length_b 4.8119
_cell_length_c 3.7377
_cell_angle_alpha 90.00
_cell_angle_beta 90.00
_cell_angle_gamma 120.00
loop_
_atom_site_label
_atom_site_fract_x
_atom_site_fract_y
_atom_site_fract_z
Er1 0.0000 0.0000 0.0000
Ge1 0.6667 0.3333 0.4991
Sb1 0.3333 0.6667 0.5006
```

A plane-wave DFT calculation with GGA-PBE was carried out for crystalline AlCoCu4 at its relaxed geometry.

Computed properties:
- Density of states at the Fermi level: 15.82 states/eV/cell
- Total DFT energy (no corrections): -4.43 eV per atom
- Spin magnetization: 2.61 Bohr magnetons per cell
- Calculated formation energy: 109 meV per atom

Cell and atoms, written as CIF:
```
data_AlCoCu4
_symmetry_space_group_name_H-M 'F -4 3 m'
_symmetry_Int_Tables_number 216
_symmetry_space_group_name_Hall 'F -4 2 3'
_cell_length_a 6.699
_cell_length_b 6.699
_cell_length_c 6.699
_cell_angle_alpha 90.00
_cell_angle_beta 90.00
_cell_angle_gamma 90.00
loop_
_atom_site_label
_atom_site_fract_x
_atom_site_fract_y
_atom_site_fract_z
Al1 0.000 0.000 0.000
Co1 0.250 0.250 0.750
Cu1 0.125 0.125 0.375
```